# 1
The following is a PBE-GGA calculation of Pr2HoAu4 after structural relaxation, from the Alexandria database.

CIF file:
```
data_Pr2HoAu4
_cell_length_a 8.498
_cell_length_b 8.498
_cell_length_c 8.498
_cell_angle_alpha 143.55
_cell_angle_beta 143.55
_cell_angle_gamma 52.49
_space_group_name_H-M_alt 'P 1'
_space_group_IT_number 1
loop_
_space_group_symop_operation_xyz
'x,y,z'
loop_
_atom_site_label
_atom_site_type_symbol
_atom_site_fract_x
_atom_site_fract_y
_atom_site_fract_z
Pr1 Pr 0.122 0.122 0.000
Pr2 Pr 0.878 0.878 0.000
Ho1 Ho 0.500 0.500 0.000
Au1 Au 0.000 0.500 0.500
Au2 Au 0.317 0.317 0.000
Au3 Au 0.500 0.000 0.500
Au4 Au 0.683 0.683 0.000
```

- calculated formation energy (eV/atom) = -0.335
- symmetry = No. 139


# 2
The following is a PBE-GGA calculation of Pr5HoAu6 after structural relaxation, from the Alexandria database.

CIF file:
```
data_Pr5HoAu6
_cell_length_a 9.103
_cell_length_b 9.103
_cell_length_c 5.263
_cell_angle_alpha 106.63
_cell_angle_beta 106.63
_cell_angle_gamma 48.09
_space_group_name_H-M_alt 'P 1'
_space_group_IT_number 1
loop_
_space_group_symop_operation_xyz
'x,y,z'
loop_
_atom_site_label
_atom_site_type_symbol
_atom_site_fract_x
_atom_site_fract_y
_atom_site_fract_z
Pr1 Pr 0.000 0.000 0.000
Pr2 Pr 0.164 0.164 0.665
Pr3 Pr 0.330 0.330 0.330
Pr4 Pr 0.670 0.670 0.670
Pr5 Pr 0.836 0.836 0.335
Ho1 Ho 0.500 0.500 0.000
Au1 Au 0.102 0.578 0.840
Au2 Au 0.273 0.727 0.500
Au3 Au 0.422 0.898 0.160
Au4 Au 0.578 0.102 0.840
Au5 Au 0.727 0.273 0.500
Au6 Au 0.898 0.422 0.160
```

- calculated formation energy (eV/atom) = -0.763
- symmetry = No. 12


# 3
The following is a PBE-GGA calculation of PrHoAu4 after structural relaxation, from the Alexandria database.

CIF file:
```
data_PrHoAu4
_cell_length_a 3.806
_cell_length_b 3.806
_cell_length_c 9.223
_cell_angle_alpha 90.00
_cell_angle_beta 90.00
_cell_angle_gamma 90.00
_space_group_name_H-M_alt 'P 1'
_space_group_IT_number 1
loop_
_space_group_symop_operation_xyz
'x,y,z'
loop_
_atom_site_label
_atom_site_type_symbol
_atom_site_fract_x
_atom_site_fract_y
_atom_site_fract_z
Pr1 Pr 0.000 0.000 0.000
Ho1 Ho 0.500 0.500 0.500
Au1 Au 0.000 0.000 0.341
Au2 Au 0.000 0.000 0.659
Au3 Au 0.500 0.500 0.175
Au4 Au 0.500 0.500 0.825
```

- calculated formation energy (eV/atom) = -0.801
- symmetry = No. 123


# 4
The following is a PBE-GGA calculation of Pr3HoAu3 after structural relaxation, from the Alexandria database.

CIF file:
```
data_Pr3HoAu3
_cell_length_a 7.368
_cell_length_b 7.368
_cell_length_c 7.417
_cell_angle_alpha 91.08
_cell_angle_beta 91.08
_cell_angle_gamma 96.61
_space_group_name_H-M_alt 'P 1'
_space_group_IT_number 1
loop_
_space_group_symop_operation_xyz
'x,y,z'
loop_
_atom_site_label
_atom_site_type_symbol
_atom_site_fract_x
_atom_site_fract_y
_atom_site_fract_z
Pr1 Pr 0.177 0.823 0.000
Pr2 Pr 0.261 0.739 0.500
Pr3 Pr 0.346 0.346 0.121
Pr4 Pr 0.654 0.654 0.879
Pr5 Pr 0.739 0.261 0.500
Pr6 Pr 0.823 0.177 0.000
Ho1 Ho 0.252 0.252 0.622
Ho2 Ho 0.748 0.748 0.378
Au1 Au 0.024 0.495 0.777
Au2 Au 0.064 0.064 0.317
Au3 Au 0.495 0.024 0.777
Au4 Au 0.505 0.976 0.223
Au5 Au 0.936 0.936 0.683
Au6 Au 0.976 0.505 0.223
```

- calculated formation energy (eV/atom) = -0.592
- symmetry = No. 12


# 5
The following is a PBE-GGA calculation of Pr2HoAu4 after structural relaxation, from the Alexandria database.

CIF file:
```
data_Pr2HoAu4
_cell_length_a 7.581
_cell_length_b 7.581
_cell_length_c 7.581
_cell_angle_alpha 139.13
_cell_angle_beta 139.13
_cell_angle_gamma 59.18
_space_group_name_H-M_alt 'P 1'
_space_group_IT_number 1
loop_
_space_group_symop_operation_xyz
'x,y,z'
loop_
_atom_site_label
_atom_site_type_symbol
_atom_site_fract_x
_atom_site_fract_y
_atom_site_fract_z
Pr1 Pr 0.220 0.220 0.000
Pr2 Pr 0.780 0.780 0.000
Ho1 Ho 0.500 0.500 0.000
Au1 Au 0.112 0.612 0.500
Au2 Au 0.388 0.888 0.500
Au3 Au 0.612 0.112 0.500
Au4 Au 0.888 0.388 0.500
```

- calculated formation energy (eV/atom) = -0.663
- symmetry = No. 139


# 6
The following is a PBE-GGA calculation of PrHoAu after structural relaxation, from the Alexandria database.

CIF file:
```
data_PrHoAu
_cell_length_a 6.838
_cell_length_b 6.838
_cell_length_c 6.838
_cell_angle_alpha 149.03
_cell_angle_beta 149.03
_cell_angle_gamma 44.36
_space_group_name_H-M_alt 'P 1'
_space_group_IT_number 1
loop_
_space_group_symop_operation_xyz
'x,y,z'
loop_
_atom_site_label
_atom_site_type_symbol
_atom_site_fract_x
_atom_site_fract_y
_atom_site_fract_z
Pr1 Pr 0.000 0.000 0.000
Ho1 Ho 0.288 0.288 0.000
Au1 Au 0.666 0.666 0.000
```

- calculated formation energy (eV/atom) = -0.516
- symmetry = No. 107


Number 1: E -0.1554 hartree per atom. Number 2: E -0.1755 hartree per atom. Number 3: E -0.1671 hartree per atom. Number 4: E -0.1727 hartree per atom. Number 5: E -0.1674 hartree per atom. Number 6: E -0.1737 hartree per atom.